## Sr2TlIn (GGA-PBEsol)

Data for a relaxed Sr2TlIn crystal.

## Properties
E_tot = -11.14 eV/f.u.
energy of formation = -1.85 eV/f.u.
SG = P4/mmm (123)

POSCAR file:
```
Sr2TlIn
1.0
5.662 0.000 0.000
0.000 5.662 0.000
0.000 0.000 4.002
Sr Tl In
2 1 1
direct
0.000 0.500 0.000
0.500 0.000 0.000
0.000 0.000 0.500
0.500 0.500 0.500
```

---

## SrTlIn2 (GGA-PBEsol)

Data for a relaxed SrTlIn2 crystal.

## Properties
E_tot = -11.58 eV/f.u.
energy of formation = -1.14 eV/f.u.
SG = I4/mmm (139)

POSCAR file:
```
SrTlIn2
1.0
-2.378 2.378 4.951
2.378 -2.378 4.951
2.378 2.378 -4.951
Sr Tl In
1 1 2
direct
0.000 0.000 0.000
0.500 0.500 0.000
0.250 0.750 0.500
0.750 0.250 0.500
```

---

## SrTlIn2 (GGA-PBEsol)

Data for a relaxed SrTlIn2 crystal.

## Properties
E_tot = -11.59 eV/f.u.
energy of formation = -1.15 eV/f.u.
SG = F-43m (216)

POSCAR file:
```
SrTlIn2
1.0
0.000 3.815 3.815
3.815 0.000 3.815
3.815 3.815 0.000
Sr Tl In
1 1 2
direct
0.000 0.000 0.000
0.750 0.750 0.750
0.250 0.250 0.250
0.500 0.500 0.500
```

---

## SrTl2In2 (GGA-PBEsol)

Data for a relaxed SrTl2In2 crystal.

## Properties
E_tot = -14.10 eV/f.u.
energy of formation = -1.03 eV/f.u.
SG = I4/mmm (139)

POSCAR file:
```
SrTl2In2
1.0
-2.344 2.344 6.720
2.344 -2.344 6.720
2.344 2.344 -6.720
Sr Tl In
1 2 2
direct
0.000 0.000 0.000
0.391 0.391 0.000
0.609 0.609 0.000
0.250 0.750 0.500
0.750 0.250 0.500
```

---

## SrInW2 (GGA-PBEsol)

Data for a relaxed SrInW2 crystal.

## Properties
E_tot = -27.79 eV/f.u.
energy of formation = 4.65 eV/f.u.
SG = Cmmm (65)

POSCAR file:
```
SrInW2
1.0
2.926 -4.928 0.000
2.926 4.928 0.000
0.000 0.000 2.773
Sr In W
1 1 2
direct
0.000 0.000 0.000
0.500 0.500 0.000
0.000 0.500 0.500
0.500 0.000 0.500
```

---

## Sr2InW (GGA-PBEsol)

Data for a relaxed Sr2InW crystal.

## Properties
E_tot = -17.04 eV/f.u.
energy of formation = 3.43 eV/f.u.
SG = R-3m (166)

POSCAR file:
```
Sr2InW
1.0
1.647 0.951 11.059
-1.647 0.951 11.059
0.000 -1.902 11.059
Sr In W
2 1 1
direct
0.245 0.245 0.245
0.755 0.755 0.755
0.000 0.000 0.000
0.500 0.500 0.500
```

---

## SrInW2 (GGA-PBEsol)

Data for a relaxed SrInW2 crystal.

## Properties
E_tot = -28.27 eV/f.u.
energy of formation = 4.16 eV/f.u.
SG = Immm (71)

POSCAR file:
```
SrInW2
1.0
-1.398 2.666 5.431
1.398 -2.666 5.431
1.398 2.666 -5.431
Sr In W
1 1 2
direct
0.000 0.000 0.000
0.500 0.500 0.000
0.271 0.771 0.500
0.729 0.229 0.500
```

---

## SrInW2 (GGA-PBEsol)

Data for a relaxed SrInW2 crystal.

## Properties
E_tot = -27.71 eV/f.u.
energy of formation = 4.73 eV/f.u.
SG = I4/mmm (139)

POSCAR file:
```
SrInW2
1.0
-2.051 2.051 4.862
2.051 -2.051 4.862
2.051 2.051 -4.862
Sr In W
1 1 2
direct
0.000 0.000 0.000
0.500 0.500 0.000
0.250 0.750 0.500
0.750 0.250 0.500
```

---

What is the formula in the eighth record?
SrInW2